No. 1
PdSNO2 after structural relaxation, computed with GGA-PBE.

Lattice parameters (Å, degrees): 3.9600 3.9600 3.8864 90.00 90.00 90.00
Closest atoms and distances in Å follow each position.
Fractional positions:
Pd 0.0000 0.0000 0.0000  2 N 1.94, 4 O 1.98
S 0.5000 0.5000 0.5000  8 O 2.77, 4 N 2.80
N 0.0000 0.0000 0.5000  2 Pd 1.94
O 0.0000 0.5000 0.0000  2 Pd 1.98
O 0.5000 0.0000 0.0000  2 Pd 1.98

Output
Crystal system = tetragonal
DOS at the Fermi energy = 2.99 states/eV/f.u.
Calculated volume = 61 Å³ per cell
Total magnetization = 0.000 Bohr magnetons per cell
Raw formation energy = 1.225 eV/atom



No. 2
AcLuGa2 after structural relaxation, computed with GGA-PBE.

Lattice parameters (Å, degrees): 3.7136 3.7136 7.3909 90.00 90.00 90.00
Closest atoms and distances in Å follow each position.
Fractional positions:
Ac 0.0000 0.0000 0.0000  8 Ga 3.40, 2 Lu 3.70, 4 Ac 3.71
Lu 0.0000 0.0000 0.5000  8 Ga 3.04
Ga 0.5000 0.5000 0.2922  4 Lu 3.04, 1 Ga 3.07, 4 Ac 3.40
Ga 0.5000 0.5000 0.7078  4 Lu 3.04, 1 Ga 3.07, 4 Ac 3.40

Output
Crystal system = tetragonal
DOS at the Fermi energy = 2.84 states/eV/f.u.
Calculated volume = 102 Å³ per cell
Total magnetization = 0.000 Bohr magnetons per cell
ΔE_f = -190 kJ/mol of formula units



No. 3
RbPdS after structural relaxation, computed with GGA-PBE.

Lattice parameters (Å, degrees): 6.6899 6.6899 6.6899 90.00 90.00 90.00
Closest atoms and distances in Å follow each position.
Fractional positions:
Rb 0.1329 0.1329 0.1329  4 S 3.21-3.41, 4 Pd 3.24-3.57
Rb 0.3671 0.8671 0.6329  4 S 3.21-3.41, 4 Pd 3.24-3.57
Rb 0.6329 0.3671 0.8671  4 S 3.21-3.41, 4 Pd 3.24-3.57
Rb 0.8671 0.6329 0.3671  4 S 3.21-3.41, 4 Pd 3.24-3.57
Pd 0.1464 0.3536 0.6464  3 S 2.40
Pd 0.3536 0.6464 0.1464  3 S 2.40
Pd 0.6464 0.1464 0.3536  3 S 2.40
Pd 0.8536 0.8536 0.8536  3 S 2.40
S 0.0899 0.5899 0.9101  3 Pd 2.40
S 0.4101 0.4101 0.4101  3 Pd 2.40
S 0.5899 0.9101 0.0899  3 Pd 2.40
S 0.9101 0.0899 0.5899  3 Pd 2.40

Output
Crystal system = cubic
DOS at the Fermi energy = 1.03 states/eV/f.u.
Calculated volume = 299 Å³ per cell
Total magnetization = 0.000 Bohr magnetons per cell
Raw formation energy = -0.623 eV/atom



What is the formula in the third record?
RbPdS



Which value of DOS at the Fermi energy does entry 2 give?
2.84 states/eV/f.u.



What is the total magnetization in the first record?
0.000 Bohr magnetons per cell